Compound: Mg2SbRu
Source: the Alexandria database
Functional: GGA-PBE
Structure: optimized geometry

Calculated values
* SG: I4_1/amd (141)
* energy relative to the elements, uncorrected: 0.099 eV per atom
* final energy: -4.05 eV/atom
* total magnetization: 0.00 Bohr magnetons per cell

Cell: 7.517 7.517 7.517 Å, 96.22 96.22 141.56°
Positions (direct):
Mg (0.000, 0.000, 0.000)
Mg (0.000, 0.000, 0.500)
Mg (0.000, 0.500, 0.000)
Mg (0.500, 0.000, 0.500)
Sb (0.375, 0.625, 0.750)
Sb (0.625, 0.375, 0.250)
Ru (0.125, 0.875, 0.250)
Ru (0.875, 0.125, 0.750)